Model A:
Density functional theory data (PBE-GGA) for an optimized crystal structure of P3N.

Calculated values
Symmetry: Pm (6)
Density of states at the Fermi level: 1.17 states/eV/cell
Magnetic moment: 0.00 μB/cell

Unit cell a=4.4986 b=2.6480 c=5.5449 alpha=90.00 beta=105.34 gamma=90.00
With the nearest neighbours (Å) after each atom.
Sites, in units of the cell vectors:
P 0.7237 0.0000 0.4595  1 N 1.61
P 0.7315 0.0000 0.0650  2 P 2.20-2.31
P 0.2648 0.0000 0.7659  1 N 1.62
N 0.3919 0.0000 0.5178  2 P 1.61-1.62

---

Model B:
Density functional theory data (PBE-GGA) for an optimized crystal structure of P3N.

Calculated values
Symmetry: P1 (1)
Density of states at the Fermi level: 0.05 states/eV/cell
Magnetic moment: 0.00 μB/cell

Unit cell a=4.2317 b=4.3829 c=4.5717 alpha=61.40 beta=69.60 gamma=79.60
With the nearest neighbours (Å) after each atom.
Sites, in units of the cell vectors:
P 0.6713 0.2959 0.0832  1 N 1.75
P 0.2970 0.7317 0.1121  1 N 1.74
P 0.1651 0.3615 0.6615  1 N 1.77
N 0.4350 0.1543 0.9263  3 P 1.74-1.77

---

Of the structures shown above, model A is the most stable.